## NaSmPbF6 (PBE)

Data for a relaxed NaSmPbF6 crystal.

```
data_NaSmPbF6
_cell_length_a 6.0365
_cell_length_b 6.0365
_cell_length_c 10.3204
_cell_angle_alpha 90.00
_cell_angle_beta 90.00
_cell_angle_gamma 120.00
_space_group_name_H-M_alt 'P -3 1 c'
_space_group_IT_number 163
_space_group_name_Hall '-P 3 2c'
loop_
_atom_site_label
_atom_site_fract_x
_atom_site_fract_y
_atom_site_fract_z
Na1 0.3333 0.6667 0.2500
Sm1 0.3333 0.6667 0.7500
Pb1 0.0000 0.0000 0.0000
F1 0.0115 0.3495 0.6355
```

Values from the calculation:
The value obtained for the raw total energy is -5.52 eV per atom. Its crystal system is trigonal. As for the density of states at the Fermi level: 0.00 states/eV per atom. The uncorrected formation energy is -3.19 eV/atom.